! BeNi2IrO6 PBE+U relaxed; values from VASP
&SYSTEM
  ibrav = 0, nat = 10, ntyp = 4
/
ATOMIC_SPECIES
Be 9.01 Be.upf
Ni 58.69 Ni.upf
Ir 192.22 Ir.upf
O 16.00 O.upf
ATOMIC_POSITIONS crystal
Be 0.5679 0.0000 0.0000
Ni 0.9406 0.5000 0.0000
Ni 0.9406 0.0000 0.5000
Ir 0.6120 0.5000 0.5000
O 0.7333 0.2425 0.2425
O 0.7333 0.2425 0.7575
O 0.2169 0.5000 0.5000
O 0.2357 0.0000 0.0000
O 0.7333 0.7575 0.7575
O 0.7333 0.7575 0.2425
CELL_PARAMETERS angstrom
-2.6019 -3.1909 1.8774
4.1639 -2.2526 1.9422
-0.4350 2.8443 4.2314
! uncorrected energy	-53.6	eV per cell
! M_tot	5.5	μB per cell